This record from Alexandria describes a relaxed Li2ThInHg4 crystal. The functional is PBE.

Calculated values
- Crystal system: trigonal
- Density of states at the Fermi level: 2.76 states/eV per cell
- Space-group type: R-3m
- Energy of formation from the pure elements: -24.0 kJ/mol of atoms
- M_tot: 0.0 μB per formula unit

The structure in POSCAR format:
```
Li2ThInHg4
1.0
2.393 1.382 9.365
-2.393 1.382 9.365
0.000 -2.763 9.365
Li Th In Hg
2 1 1 4
direct
0.236 0.236 0.236
0.764 0.764 0.764
0.000 0.000 0.000
0.500 0.500 0.500
0.116 0.116 0.116
0.389 0.389 0.389
0.611 0.611 0.611
0.884 0.884 0.884
```



This record from Alexandria describes a relaxed Li3PmMg3 crystal. The functional is PBE.

Calculated values
- Crystal system: cubic
- Density of states at the Fermi level: 11.65 states/eV per cell
- Space-group type: Pm-3n
- Energy of formation from the pure elements: 38.3 kJ/mol of atoms
- M_tot: 0.0 μB per formula unit

The structure in POSCAR format:
```
Li3PmMg3
1.0
7.075 0.000 0.000
0.000 7.075 0.000
0.000 0.000 7.075
Li Pm Mg
6 2 6
direct
0.000 0.250 0.500
0.000 0.750 0.500
0.250 0.500 0.000
0.500 0.000 0.250
0.500 0.000 0.750
0.750 0.500 0.000
0.000 0.000 0.000
0.500 0.500 0.500
0.000 0.500 0.250
0.000 0.500 0.750
0.250 0.000 0.500
0.500 0.250 0.000
0.500 0.750 0.000
0.750 0.000 0.500
```



This record from Alexandria describes a relaxed NaDyHo2Te4 crystal. The functional is PBE.

Calculated values
- Crystal system: monoclinic
- E_form (uncorrected): -1.289 eV per atom
- Density of states at the Fermi level: 3.12 states/eV per cell
- Space-group type: P2/m
- M_tot: 0.0 μB per formula unit

The structure in POSCAR format:
```
NaDyHo2Te4
1.0
7.606 0.000 0.000
0.000 4.336 0.000
-2.459 0.000 7.201
Na Dy Ho Te
1 1 2 4
direct
0.000 0.000 0.000
0.000 0.500 0.500
0.500 0.000 0.500
0.500 0.500 0.000
0.251 0.000 0.751
0.254 0.500 0.253
0.746 0.500 0.747
0.749 0.000 0.249
```



This record from Alexandria describes a relaxed TiTlSeCl2 crystal. The functional is PBE.

Calculated values
- Crystal system: tetragonal
- E_form (uncorrected): -1.068 eV per atom
- Density of states at the Fermi level: 2.85 states/eV per cell
- Space-group type: P4/mmm
- M_tot: 1.0 μB per formula unit

The structure in POSCAR format:
```
TiTlSeCl2
1.0
4.968 0.000 0.000
0.000 4.968 0.000
0.000 0.000 5.078
Ti Tl Se Cl
1 1 1 2
direct
0.000 0.000 0.000
0.500 0.500 0.500
0.000 0.000 0.500
0.000 0.500 0.000
0.500 0.000 0.000
```



This record from Alexandria describes a relaxed Li4AcAg5 crystal. The functional is PBE.

Calculated values
- Crystal system: tetragonal
- Density of states at the Fermi level: 4.47 states/eV per cell
- Space-group type: P4/mmm
- Energy of formation from the pure elements: -16.1 kJ/mol of atoms
- M_tot: 0.0 μB per formula unit

The structure in POSCAR format:
```
Li4AcAg5
1.0
3.407 0.000 0.000
0.000 3.407 0.000
0.000 0.000 16.477
Li Ac Ag
4 1 5
direct
0.000 0.000 0.090
0.000 0.000 0.269
0.000 0.000 0.731
0.000 0.000 0.910
0.000 0.000 0.500
0.500 0.500 0.000
0.500 0.500 0.179
0.500 0.500 0.356
0.500 0.500 0.644
0.500 0.500 0.821
```



This record from Alexandria describes a relaxed LaPm8Pr6 crystal. The functional is PBE.

Calculated values
- Crystal system: trigonal
- Density of states at the Fermi level: 25.45 states/eV per cell
- Excess energy over the best structure of this formula in the dataset: 0.0000 eV/atom
- Space-group type: P-3
- Energy of formation from the pure elements: 13.1 kJ/mol of atoms
- M_tot: 0.0 μB per formula unit

The structure in POSCAR format:
```
LaPm8Pr6
1.0
10.096 0.000 0.000
-5.048 8.743 0.000
0.000 0.000 6.080
La Pm Pr
1 8 6
direct
0.000 0.000 0.000
0.053 0.782 0.723
0.218 0.271 0.723
0.271 0.053 0.277
0.333 0.667 0.721
0.667 0.333 0.279
0.729 0.947 0.723
0.782 0.729 0.277
0.947 0.218 0.277
0.091 0.622 0.242
0.378 0.468 0.242
0.468 0.091 0.758
0.532 0.909 0.242
0.622 0.532 0.758
0.909 0.378 0.758
```